! PBE-GGA CaY7Ho2, optimized geometry; values from VASP
! Magnetization   0.0 μB/cell
! SG   P-1 (2)
! Formation enthalpy at 0 K   5.6 kJ per mole of atoms
! Fermi-level density of states   1.611 states/eV/atom
&SYSTEM
  ibrav = 0, nat = 10, ntyp = 3
/
ATOMIC_SPECIES
Ca 40.08 Ca.upf
Y 88.91 Y.upf
Ho 164.93 Ho.upf
CELL_PARAMETERS angstrom
6.208 0.000 0.000
1.043 6.122 0.000
3.076 2.609 8.605
ATOMIC_POSITIONS crystal
Ca 0.000 0.000 0.000
Y 0.203 0.001 0.595
Y 0.311 0.499 0.897
Y 0.394 0.000 0.206
Y 0.500 0.500 0.500
Y 0.606 0.000 0.794
Y 0.689 0.501 0.103
Y 0.797 0.999 0.405
Ho 0.099 0.492 0.304
Ho 0.901 0.508 0.696